# 1
The following is a PBE calculation of a relaxed Fe2Co crystal, from Alexandria via LeMat-Bulk.

Unit cell a=6.209 b=6.209 c=4.022 alpha=90.00 beta=90.00 gamma=153.34
Site moments in Bohr magnetons follow the coordinates.
Fractional positions:
Fe 0.251 0.749 0.750  2.60
Fe 0.417 0.583 0.250  2.77
Fe 0.583 0.417 0.750  2.77
Fe 0.749 0.251 0.250  2.60
Co 0.917 0.083 0.750  1.77
Co 0.083 0.917 0.250  1.77

Properties
As for the formation energy: -0.0453 eV/atom.


# 2
The following is a PBE calculation of a relaxed Pm5Nd6Sm2 crystal, from Alexandria via LeMat-Bulk.

Unit cell a=3.670 b=11.918 c=20.926 alpha=90.00 beta=90.00 gamma=90.00
Fractional positions:
Pm 0.500 0.301 0.444
Pm 0.500 0.699 0.556
Pm 0.500 0.801 0.056
Pm 0.500 0.199 0.944
Pm 0.500 0.586 0.276
Pm 0.500 0.414 0.724
Pm 0.500 0.086 0.224
Pm 0.500 0.914 0.776
Pm 0.500 0.500 0.000
Pm 0.500 0.000 0.500
Nd 0.000 0.079 0.366
Nd 0.000 0.921 0.634
Nd 0.000 0.579 0.134
Nd 0.000 0.421 0.866
Nd 0.500 0.322 0.133
Nd 0.500 0.678 0.867
Nd 0.500 0.822 0.367
Nd 0.500 0.178 0.633
Nd 0.000 0.561 0.422
Nd 0.000 0.439 0.578
Nd 0.000 0.061 0.078
Nd 0.000 0.939 0.922
Sm 0.000 0.328 0.286
Sm 0.000 0.672 0.714
Sm 0.000 0.828 0.214
Sm 0.000 0.172 0.786

Properties
As for the formation energy: 0.0909 eV/atom.


# 3
The following is a PBE calculation of a relaxed Pm2GaBi crystal, from Alexandria via LeMat-Bulk.

Unit cell a=5.432 b=5.432 c=5.432 alpha=60.00 beta=60.00 gamma=60.00
Fractional positions:
Bi 0.500 0.500 0.500
Ga 0.000 0.000 0.000
Pm 0.250 0.250 0.250
Pm 0.750 0.750 0.750

Properties
The value obtained for the energy above the most stable polymorph in this dataset is 209 meV/atom. As for the formation energy: -0.5058 eV/atom.


# 4
The following is a PBE calculation of a relaxed MgSnHPd2 crystal, from Alexandria via LeMat-Bulk.

Unit cell a=4.234 b=4.234 c=4.009 alpha=90.00 beta=90.00 gamma=90.00
Fractional positions:
H 0.000 0.000 0.000
Mg 0.000 0.000 0.500
Sn 0.500 0.500 0.500
Pd 0.000 0.500 0.000
Pd 0.500 0.000 0.000

Properties
As for the calculated total energy: -4.219 eV/atom.


# 5
The following is a PBE calculation of a relaxed PmMnBeSi2 crystal, from Alexandria via LeMat-Bulk.

Unit cell a=3.942 b=3.942 c=5.875 alpha=109.60 beta=109.60 gamma=90.00
Site moments in Bohr magnetons follow the coordinates.
Fractional positions:
Pm 0.000 0.000 0.000  0.06
Mn 0.750 0.250 0.500  2.62
Be 0.250 0.750 0.500  -0.03
Si 0.621 0.621 0.241  -0.04
Si 0.379 0.379 0.759  -0.04

Properties
As for the calculated total energy: -6.184 eV/atom.


# 6
The following is a PBE calculation of a relaxed LiZn2InO4 crystal, from Alexandria via LeMat-Bulk.

Unit cell a=4.655 b=4.655 c=5.780 alpha=113.75 beta=113.75 gamma=90.00
Fractional positions:
Li 0.500 0.500 0.000
Zn 0.750 0.250 0.500
Zn 0.250 0.750 0.500
In 0.000 0.000 0.000
O 0.614 0.614 0.743
O 0.386 0.872 0.258
O 0.872 0.386 0.258
O 0.129 0.129 0.743

Properties
As for the calculated total energy: -4.927 eV/atom.


# 7
The following is a PBE calculation of a relaxed Nd3Ni9SnGe2 crystal, from Alexandria via LeMat-Bulk.

Unit cell a=6.016 b=6.016 c=8.991 alpha=90.00 beta=90.00 gamma=120.00
Fractional positions:
Nd 0.333 0.667 0.704
Nd 0.000 0.000 0.000
Nd 0.667 0.333 0.296
Ni 0.865 0.135 0.730
Ni 0.865 0.729 0.730
Ni 0.271 0.135 0.730
Ni 0.729 0.865 0.270
Ni 0.135 0.271 0.270
Ni 0.135 0.865 0.270
Ni 0.500 0.000 0.000
Ni 0.000 0.500 0.000
Ni 0.500 0.500 0.000
Sn 0.000 0.000 0.500
Ge 0.333 0.667 0.175
Ge 0.667 0.333 0.825

Properties
As for the formation energy: -0.1716 eV/atom.


# 8
The following is a PBE calculation of a relaxed NaAl4 crystal, from Alexandria via LeMat-Bulk.

Unit cell a=5.112 b=5.112 c=5.112 alpha=90.00 beta=90.00 gamma=90.00
Fractional positions:
Na 0.500 0.500 0.500
Al 0.000 0.000 0.000
Al 0.500 0.000 0.500
Al 0.000 0.500 0.500
Al 0.500 0.500 0.000

Properties
As for the formation energy: 1.1655 eV/atom.